w.
{"formula": "Cu5Ag4", "functional": "PBE", "state": "relaxed", "lattice": [[-1.4016, 1.4016, 16.5682], [1.4016, -1.4016, 16.5682], [1.4016, 1.4016, -16.5682]], "species": ["Ag", "Ag", "Ag", "Ag", "Cu", "Cu", "Cu", "Cu", "Cu"], "fractional_positions": [[0.1099, 0.1099, 0.0000], [0.3370, 0.3370, 0.0000], [0.5435, 0.5435, 0.0000], [0.6762, 0.6762, 0.0000], [0.2331, 0.2331, 0.0000], [0.4403, 0.4403, 0.0000], [0.7796, 0.7796, 0.0000], [0.8941, 0.8941, 0.0000], [0.9865, 0.9865, 0.0000]]}

x.
{"formula": "Cu5Ag4", "functional": "PBE", "state": "relaxed", "lattice": [[5.7229, -1.3909, 0.0000], [5.7229, 1.3909, 0.0000], [-2.1159, 0.0000, 8.2730]], "species": ["Ag", "Ag", "Ag", "Ag", "Cu", "Cu", "Cu", "Cu", "Cu"], "fractional_positions": [[0.3398, 0.3398, 0.0918], [0.6668, 0.6668, 0.2192], [0.9967, 0.9967, 0.3491], [0.9977, 0.9977, 0.6724], [0.3227, 0.3227, 0.4579], [0.6764, 0.6764, 0.5691], [0.3262, 0.3262, 0.7760], [0.6678, 0.6678, 0.8815], [0.0059, 0.0059, 0.9829]]}

y.
{"formula": "Cu5Ag4", "functional": "PBE", "state": "relaxed", "lattice": [[-4.6504, -1.8867, -3.0550], [-3.5797, -4.2233, -1.9668], [-3.2282, 2.0547, 7.5881]], "species": ["Ag", "Ag", "Ag", "Ag", "Cu", "Cu", "Cu", "Cu", "Cu"], "fractional_positions": [[0.3456, 0.3456, 0.1117], [0.6531, 0.6531, 0.2152], [0.3362, 0.3362, 0.4524], [0.3283, 0.3283, 0.7749], [0.0054, 0.0054, 0.3535], [0.6554, 0.6554, 0.5562], [0.0117, 0.0117, 0.6736], [0.6593, 0.6593, 0.8837], [0.0050, 0.0050, 0.9789]]}

Computed energies relative to the best structure, in kJ/mol of atoms: w 0.0; x 3.2; y 2.1